! Tl3CdHg2F9 PBE optimized geometry; values from VASP
! Energy in eV/cell: -51.24
! Calculated density in g/cm³: 7.5
! Formation energy from raw total energies in eV/atom: -1.72
&SYSTEM
  ibrav = 0, nat = 15, ntyp = 4
/
ATOMIC_SPECIES
Tl 204.38 Tl.upf
Cd 112.41 Cd.upf
Hg 200.59 Hg.upf
F 19.00 F.upf
CELL_PARAMETERS angstrom
6.4928 0.0000 0.0000
-3.2464 5.6229 0.0000
0.0000 0.0000 7.8798
ATOMIC_POSITIONS crystal
Tl 0.3333 0.6667 0.7137
Tl 0.0000 0.0000 0.0000
Tl 0.6667 0.3333 0.2863
Cd 0.0000 0.0000 0.5000
Hg 0.3333 0.6667 0.1817
Hg 0.6667 0.3333 0.8183
F 0.8432 0.1568 0.6754
F 0.8432 0.6864 0.6754
F 0.3136 0.1568 0.6754
F 0.6864 0.8432 0.3246
F 0.1568 0.3136 0.3246
F 0.1568 0.8432 0.3246
F 0.5000 0.0000 0.0000
F 0.0000 0.5000 0.0000
F 0.5000 0.5000 0.0000

---

! CaSc2Au PBE optimized geometry; values from VASP
! Energy in eV/cell: -18.56
! E_form in eV/f.u.: -0.61
! Calculated density in g/cm³: 4.9
&SYSTEM
  ibrav = 0, nat = 4, ntyp = 3
/
ATOMIC_SPECIES
Sc 44.96 Sc.upf
Ca 40.08 Ca.upf
Au 196.97 Au.upf
CELL_PARAMETERS angstrom
9.8635 -0.0183 -0.0108
9.1919 3.5775 -0.0108
9.1919 1.7169 3.1386
ATOMIC_POSITIONS crystal
Sc 0.9791 0.9791 0.9791
Sc 0.5209 0.5209 0.5209
Ca 0.7500 0.7500 0.7500
Au 0.2500 0.2500 0.2500

---

! LiLa2Ni3Sn4 PBE optimized geometry; values from VASP
! Energy in eV/cell: -50.82
! E_form in eV/f.u.: -5.70
! Calculated density in g/cm³: 7.3
&SYSTEM
  ibrav = 0, nat = 10, ntyp = 4
/
ATOMIC_SPECIES
Li 6.94 Li.upf
La 138.91 La.upf
Ni 58.69 Ni.upf
Sn 118.71 Sn.upf
CELL_PARAMETERS angstrom
-2.6687 -1.7934 3.1815
-1.6602 -2.9140 -3.0353
7.4438 -6.7698 2.4279
ATOMIC_POSITIONS crystal
Li 0.5000 0.5000 0.5000
La 0.5000 0.0000 0.2555
La 0.0000 0.5000 0.7445
Ni 0.0000 0.0000 0.5000
Ni 0.5000 0.0000 0.8760
Ni 0.0000 0.5000 0.1240
Sn 0.5000 0.5000 0.0000
Sn 0.0000 0.0000 0.0000
Sn 0.5000 0.0000 0.6303
Sn 0.0000 0.5000 0.3697

---

! Zn4TcRu PBE optimized geometry; values from VASP
! Energy in eV/cell: -23.99
! E_form in eV/f.u.: 0.74
! Calculated density in g/cm³: 9.2
&SYSTEM
  ibrav = 0, nat = 6, ntyp = 3
/
ATOMIC_SPECIES
Zn 65.41 Zn.upf
Tc 98.00 Tc.upf
Ru 101.07 Ru.upf
CELL_PARAMETERS angstrom
0.0000 3.4624 3.4624
3.4624 0.0000 3.4624
3.4624 3.4624 0.0000
ATOMIC_POSITIONS crystal
Zn 0.8751 0.3750 0.3750
Zn 0.3750 0.3750 0.8751
Zn 0.3750 0.8751 0.3750
Zn 0.3750 0.3750 0.3750
Tc 0.0000 0.0000 0.0000
Ru 0.7500 0.7500 0.7500

---

! PmDySiHg PBE optimized geometry; values from VASP
! Energy in eV/cell: -16.93
! Calculated density in g/cm³: 9.1
! Formation energy from raw total energies in eV/atom: -0.46
&SYSTEM
  ibrav = 0, nat = 4, ntyp = 4
/
ATOMIC_SPECIES
Si 28.09 Si.upf
Pm 145.00 Pm.upf
Hg 200.59 Hg.upf
Dy 162.50 Dy.upf
CELL_PARAMETERS angstrom
-4.6085 -1.8962 -1.4057
-0.7218 -1.7397 -4.8231
-0.5568 -5.0745 -0.8657
ATOMIC_POSITIONS crystal
Si 0.7500 0.7500 0.7500
Pm 0.5000 0.5000 0.5000
Hg 0.2500 0.2500 0.2500
Dy 0.0000 0.0000 0.0000

---

! Sm3Be PBE optimized geometry; values from VASP
! Energy in eV/cell: -16.44
! E_form in eV/f.u.: 1.45
! Calculated density in g/cm³: 6.6
&SYSTEM
  ibrav = 0, nat = 4, ntyp = 2
/
ATOMIC_SPECIES
Be 9.01 Be.upf
Sm 150.36 Sm.upf
CELL_PARAMETERS angstrom
3.4429 0.0000 0.0000
0.0000 3.4938 0.0000
0.0000 0.0000 9.6871
ATOMIC_POSITIONS crystal
Be 0.0000 0.0000 0.9832
Sm 0.0000 0.5000 0.4673
Sm 0.5000 0.5000 0.1402
Sm 0.5000 0.0000 0.7426

---

! ThSiGe PBE optimized geometry; values from VASP
! Energy in eV/cell: -38.13
! Calculated density in g/cm³: 8.5
! Formation energy from raw total energies in eV/atom: -0.54
&SYSTEM
  ibrav = 0, nat = 6, ntyp = 3
/
ATOMIC_SPECIES
Th 232.04 Th.upf
Si 28.09 Si.upf
Ge 72.64 Ge.upf
CELL_PARAMETERS angstrom
4.1378 -2.2857 6.7244
4.9066 3.3970 5.6524
-6.8491 0.0693 -4.5442
ATOMIC_POSITIONS crystal
Th 0.0813 0.5813 0.5000
Th 0.3313 0.3313 0.0000
Si 0.5010 0.0010 0.5000
Si 0.7510 0.7510 0.0000
Ge 0.6647 0.1647 0.5000
Ge 0.9147 0.9147 0.0000

---

! Te3AsPb PBE optimized geometry; values from VASP
! Energy in eV/cell: -36.35
! Calculated density in g/cm³: 6.8
! Formation energy from raw total energies in eV/atom: -0.08
&SYSTEM
  ibrav = 0, nat = 10, ntyp = 3
/
ATOMIC_SPECIES
Te 127.60 Te.upf
As 74.92 As.upf
Pb 207.20 Pb.upf
CELL_PARAMETERS angstrom
4.3287 0.0564 -0.0092
2.2560 6.1643 0.4520
0.0215 3.3633 12.5342
ATOMIC_POSITIONS crystal
Te 0.2652 0.0472 0.3678
Te 0.4804 0.6080 0.1426
Te 0.2077 0.1527 0.9165
Te 0.7310 0.1152 0.6479
Te 0.4231 0.7135 0.6913
Te 0.9572 0.6455 0.4112
As 0.0970 0.3882 0.7011
As 0.5913 0.3725 0.3580
Pb 0.7877 0.9630 0.1703
Pb 0.9004 0.7976 0.8888

---

! Li2ErTm2Sn2 PBE optimized geometry; values from VASP
! Energy in eV/cell: -28.26
! E_form in eV/f.u.: -2.92
! Calculated density in g/cm³: 7.4
&SYSTEM
  ibrav = 0, nat = 7, ntyp = 4
/
ATOMIC_SPECIES
Li 6.94 Li.upf
Er 167.26 Er.upf
Tm 168.93 Tm.upf
Sn 118.71 Sn.upf
CELL_PARAMETERS angstrom
4.7583 0.0000 0.0000
2.3791 4.1208 0.0000
2.3791 1.3736 8.6435
ATOMIC_POSITIONS crystal
Li 0.5970 0.5970 0.2091
Li 0.4030 0.4030 0.7909
Er 0.0000 0.0000 0.0000
Tm 0.1292 0.1292 0.6124
Tm 0.8708 0.8708 0.3876
Sn 0.7370 0.7370 0.7891
Sn 0.2630 0.2630 0.2109

---

! Hf2Pb2S PBE optimized geometry; values from VASP
! Energy in eV/cell: -66.34
! Calculated density in g/cm³: 11.4
! Formation energy from raw total energies in eV/atom: -0.34
&SYSTEM
  ibrav = 0, nat = 10, ntyp = 3
/
ATOMIC_SPECIES
Pb 207.20 Pb.upf
S 32.06 S.upf
Hf 178.49 Hf.upf
CELL_PARAMETERS angstrom
6.6881 0.0000 0.0000
0.0000 6.6881 0.0000
0.0000 0.0000 5.2149
ATOMIC_POSITIONS crystal
Pb 0.1682 0.6682 0.5000
Pb 0.6682 0.8318 0.5000
Pb 0.8318 0.3318 0.5000
Pb 0.3318 0.1682 0.5000
S 0.0000 0.0000 0.0000
S 0.5000 0.5000 0.0000
Hf 0.3399 0.8399 0.0000
Hf 0.8399 0.6601 0.0000
Hf 0.6601 0.1601 0.0000
Hf 0.1601 0.3399 0.0000

---

! PuNCl PBE optimized geometry; values from VASP
! Energy in eV/cell: -28.34
! Calculated density in g/cm³: 7.2
! Formation energy from raw total energies in eV/atom: -1.28
&SYSTEM
  ibrav = 0, nat = 3, ntyp = 3
/
ATOMIC_SPECIES
N 14.01 N.upf
Cl 35.45 Cl.upf
Pu 244.00 Pu.upf
CELL_PARAMETERS angstrom
-1.2250 -3.2717 -1.0751
3.5366 0.4532 0.8046
-1.0831 -1.4222 5.5619
ATOMIC_POSITIONS crystal
N 0.3333 0.6667 0.5079
Cl 0.0000 0.0000 0.0852
Pu 0.6667 0.3333 0.4069

---

! Pm6NdIn2 PBE optimized geometry; values from VASP
! Energy in eV/cell: -40.51
! E_form in eV/f.u.: -1.76
! Calculated density in g/cm³: 7.1
&SYSTEM
  ibrav = 0, nat = 9, ntyp = 3
/
ATOMIC_SPECIES
Pm 145.00 Pm.upf
Nd 144.24 Nd.upf
In 114.82 In.upf
CELL_PARAMETERS angstrom
-2.7424 2.2389 -1.5603
-4.9944 -4.1784 -2.0139
-7.8976 -0.0386 9.0292
ATOMIC_POSITIONS crystal
Pm 0.6872 0.5007 0.1249
Pm 0.3128 0.4993 0.8751
Pm 0.3092 0.7968 0.5847
Pm 0.9878 0.6855 0.3389
Pm 0.0122 0.3145 0.6611
Pm 0.6908 0.2032 0.4153
Nd 0.0000 0.0000 0.0000
In 0.3565 0.0769 0.2101
In 0.6435 0.9231 0.7899